# PBE-GGA SrReN3, relaxed
data_SrReN3
_space_group_name_H-M_alt 'I -4 m 2'
_space_group_IT_number 119
_space_group_name_Hall 'I -4 -2'
_cell_length_a 3.472
_cell_length_b 3.472
_cell_length_c 23.369
_cell_angle_alpha 90.00
_cell_angle_beta 90.00
_cell_angle_gamma 90.00
loop_
_atom_site_label
_atom_site_type_symbol
_atom_site_fract_x
_atom_site_fract_y
_atom_site_fract_z
_atom_site_occupancy
Sr1 Sr 0.000 0.000 0.000 1
Sr2 Sr 0.000 0.500 0.250 1
Re1 Re 0.000 0.500 0.630 1
N1 N 0.000 0.000 0.325 1
N2 N 0.000 0.313 0.101 1
# ΔE_f (raw)	0.15	eV/atom
# electronic total energy	-7.671	eV/atom